RbDyAgCl6 PBE relaxed; mass density = 3.1 g cm⁻³; total energy = -3.741 eV/atom; volume = 33.9 Å³ per atom; magnetic moment = 1.1 μB/f.u.
1.0
-3.017 -6.069 0.346
0.700 -3.949 -5.486
6.378 -2.718 2.451
Cl Rb Dy Ag
6 1 1 1
Direct
0.638 0.979 0.259
0.374 0.612 0.293
0.997 0.370 0.320
0.370 0.997 0.680
0.614 0.375 0.707
0.980 0.640 0.739
0.014 0.014 0.001
0.679 0.679 0.500
0.334 0.334 0.500